(1)
Here is crystalline AgHgRu2 at its relaxed geometry from Alexandria via LeMat-Bulk. Energies are from PBE.

Crystal system: tetragonal
ρ: 12.595 g cm⁻³
VASP energy: -4.7582 eV/atom
Size of the total moment: 3.35 Bohr magnetons per cell

abc: 4.331 3.943 3.943
angles: 90.00 90.00 90.00
Each line ends with the local moment (μB).
Atoms (fractional coordinates):
Ru1 0.000 0.500 0.500  1.61
Ru2 0.000 0.000 0.000  1.61
Hg1 0.500 0.000 0.500  -0.01
Ag1 0.500 0.500 0.000  0.05

***

(2)
Here is crystalline AgHgRu2 at its relaxed geometry from Alexandria via LeMat-Bulk. Energies are from PBE.

Crystal system: orthorhombic
ρ: 12.492 g cm⁻³
VASP energy: -5.0580 eV/atom
Size of the total moment: 0.00 Bohr magnetons per cell

abc: 2.842 3.622 6.594
angles: 90.00 90.00 90.00
Atoms (fractional coordinates):
Ru1 0.500 0.500 0.215
Ru2 0.000 0.000 0.043
Hg1 0.500 0.500 0.760
Ag1 0.000 0.000 0.482

***

(3)
Here is crystalline AgHgRu2 at its relaxed geometry from Alexandria via LeMat-Bulk. Energies are from PBE.

Crystal system: trigonal
ρ: 12.816 g cm⁻³
VASP energy: -4.7930 eV/atom
Size of the total moment: 1.51 Bohr magnetons per cell

abc: 9.643 9.643 9.643
angles: 16.91 16.91 16.91
Each line ends with the local moment (μB).
Atoms (fractional coordinates):
Ru1 0.501 0.501 0.501  0.74
Ru2 0.999 0.999 0.999  0.74
Hg1 0.750 0.750 0.750  -0.01
Ag1 0.250 0.250 0.250  0.02

***

(4)
Here is crystalline AgHgRu2 at its relaxed geometry from Alexandria via LeMat-Bulk. Energies are from PBE.

Crystal system: orthorhombic
ρ: 12.461 g cm⁻³
VASP energy: -4.8941 eV/atom
Size of the total moment: 0.00 Bohr magnetons per cell

abc: 4.285 2.833 5.781
angles: 75.83 90.00 90.00
Atoms (fractional coordinates):
Hg1 0.500 0.810 0.754
Ru1 0.500 0.074 0.229
Ru2 0.000 0.172 0.029
Ag1 0.000 0.444 0.489

***

(5)
Here is crystalline Ag2HgRu at its relaxed geometry from Alexandria via LeMat-Bulk. Energies are from PBE.

Crystal system: monoclinic
ρ: 12.078 g cm⁻³
VASP energy: -3.3910 eV/atom
Size of the total moment: 1.30 Bohr magnetons per cell

abc: 4.031 2.924 6.700
angles: 64.25 90.00 90.00
Each line ends with the local moment (μB).
Atoms (fractional coordinates):
Ru1 0.500 0.748 0.751  1.25
Hg1 0.000 0.485 0.514  0.00
Ag1 0.000 0.005 0.995  0.02
Ag2 0.500 0.261 0.240  0.00

***

(6)
Here is crystalline Ag2HgRu at its relaxed geometry from Alexandria via LeMat-Bulk. Energies are from PBE.

Crystal system: trigonal
ρ: 12.113 g cm⁻³
VASP energy: -3.4344 eV/atom
Size of the total moment: 0.49 Bohr magnetons per cell

abc: 9.979 9.979 9.979
angles: 16.62 16.62 16.62
Each line ends with the local moment (μB).
Atoms (fractional coordinates):
Ru1 0.750 0.750 0.750  0.48
Hg1 0.250 0.250 0.250  0.00
Ag1 0.495 0.495 0.495  0.01
Ag2 0.005 0.005 0.005  0.01

***

(7)
Here is crystalline Ag2HgRu at its relaxed geometry from Alexandria via LeMat-Bulk. Energies are from PBE.

Crystal system: orthorhombic
ρ: 11.869 g cm⁻³
VASP energy: -3.3773 eV/atom
Size of the total moment: 1.23 Bohr magnetons per cell

abc: 2.837 2.837 10.027
angles: 90.00 90.00 116.24
Each line ends with the local moment (μB).
Atoms (fractional coordinates):
Ag1 0.000 0.000 0.986  0.01
Ag2 0.000 0.000 0.514  0.01
Ru1 0.500 0.500 0.750  1.19
Hg1 0.500 0.500 0.250  -0.01

***

(8)
Here is crystalline AgHgRu2 at its relaxed geometry from Alexandria via LeMat-Bulk. Energies are from PBE.

Crystal system: cubic
ρ: 12.770 g cm⁻³
VASP energy: -4.7548 eV/atom
Size of the total moment: 0.00 Bohr magnetons per cell

abc: 4.545 4.545 4.545
angles: 60.00 60.00 60.00
Atoms (fractional coordinates):
Ag1 0.500 0.500 0.500
Ru1 0.750 0.750 0.750
Ru2 0.000 0.000 0.000
Hg1 0.250 0.250 0.250